Entry 1:
Density functional theory data (PBE) for a geometry-optimized CaReTe2Pt structure.

Lattice parameters (Å, degrees): 5.048 5.664 5.048 90.00 90.00 90.00
Fractional coordinates of all 5 atoms:
Re  0.000  0.000  0.000
Ca  0.000  0.500  0.000
Te  0.000  0.000  0.500
Te  0.500  0.000  0.000
Pt  0.500  0.500  0.500

Output
The density comes out at 7.8 g/cm3. The value obtained for the formation energy from raw total energies is 0.65 eV per atom.

Entry 2:
Density functional theory data (PBE) for a geometry-optimized MgTl6Cd structure.

Lattice parameters (Å, degrees): 8.662 8.693 6.130 45.30 45.55 59.67
Fractional coordinates of all 8 atoms:
Tl  0.995  0.492  0.263
Tl  0.005  0.508  0.737
Tl  0.511  0.251  0.260
Tl  0.489  0.749  0.740
Tl  0.250  0.999  0.234
Tl  0.750  0.001  0.766
Mg  0.500  0.500  0.500
Cd  0.000  0.000  0.000

Output
The density comes out at 9.7 g/cm3. The value obtained for the energy relative to the lowest polymorph listed for this composition is 9 meV/atom. Its formation enthalpy at 0 K is 0.05 eV/atom.

Entry 3:
Density functional theory data (PBE) for a geometry-optimized K14CdHg structure.

Lattice parameters (Å, degrees): 8.976 8.976 12.860 90.00 90.00 102.37
Fractional coordinates of all 16 atoms:
Hg  0.758  0.242  0.000
Cd  0.350  0.650  0.000
K  0.070  0.329  0.189
K  0.179  0.821  0.736
K  0.569  0.431  0.198
K  0.397  0.603  0.500
K  0.870  0.544  0.500
K  0.179  0.821  0.264
K  0.070  0.329  0.811
K  0.671  0.930  0.811
K  0.456  0.130  0.500
K  0.334  0.078  0.000
K  0.671  0.930  0.189
K  0.922  0.666  0.000
K  0.935  0.065  0.500
K  0.569  0.431  0.802

Output
The density comes out at 1.4 g/cm3. Its formation enthalpy at 0 K is -0.02 eV/atom.

Entry 4:
Density functional theory data (PBE) for a geometry-optimized SrLiNdGe structure.

Lattice parameters (Å, degrees): 5.348 5.348 5.348 60.00 60.00 60.00
Fractional coordinates of all 4 atoms:
Li  0.750  0.750  0.750
Sr  0.500  0.500  0.500
Nd  0.000  0.000  0.000
Ge  0.250  0.250  0.250

Output
The density comes out at 4.8 g/cm3. Its formation enthalpy at 0 K is -0.31 eV/atom.

Table of uncorrected energy (eV/atom), in record order: -4.71 -2.04 -1.05 -3.56